Compound: PrYCo10
Source: Alexandria
Functional: PBE
Structure: optimized geometry

Cell lengths 3.9412, 4.9741, 8.6529 Å; angles 90.00, 90.00, 90.00 degrees
Last column: magnetic moment on the atom in μB.
Fractional coordinates of all 12 atoms:
Pr: 0.0000 0.5000 0.5000  -0.24
Y: 0.0000 0.0000 0.0000  -0.26
Co: 0.0000 0.0000 0.3265  1.51
Co: 0.0000 0.5000 0.8372  1.54
Co: 0.0000 0.5000 0.1628  1.54
Co: 0.0000 0.0000 0.6735  1.51
Co: 0.5000 0.0000 0.5000  1.52
Co: 0.5000 0.5000 0.0000  1.55
Co: 0.5000 0.2460 0.2447  1.53
Co: 0.5000 0.7540 0.7553  1.53
Co: 0.5000 0.7540 0.2447  1.53
Co: 0.5000 0.2460 0.7553  1.53

Space group: Pmmm (47)
Volume: 169.6 Å³/f.u.
Total moment: 14.18 μB per formula unit
E_tot: -6.9173 eV/atom

---

Compound: PrY2Co
Source: Alexandria
Functional: PBE
Structure: optimized geometry

Cell lengths 3.4355, 3.4355, 9.0448 Å; angles 90.00, 90.00, 90.00 degrees
Last column: magnetic moment on the atom in μB.
Fractional coordinates of all 4 atoms:
Pr: 0.5000 0.5000 0.5000  0.01
Y: 0.0000 0.0000 0.8214  -0.08
Y: 0.0000 0.0000 0.1786  -0.08
Co: 0.5000 0.5000 0.0000  0.89

Space group: P4/mmm (123)
Volume: 106.8 Å³/f.u.
Total moment: 0.64 μB per formula unit
Energy above the most stable polymorph in this dataset: 0.059 eV per atom
E_tot: -6.2596 eV/atom

---

Compound: Pr3YCo
Source: Alexandria
Functional: PBE
Structure: optimized geometry

Cell lengths 5.4715, 5.4715, 5.4715 Å; angles 90.00, 90.00, 90.00 degrees
Last column: magnetic moment on the atom in μB.
Fractional coordinates of all 5 atoms:
Pr: 0.0000 0.5000 0.0000  0.05
Pr: 0.0000 0.0000 0.5000  0.05
Pr: 0.5000 0.0000 0.0000  0.05
Y: 0.5000 0.5000 0.5000  0.18
Co: 0.0000 0.0000 0.0000  0.12

Space group: Pm-3m (221)
Volume: 163.8 Å³/f.u.
Total moment: 0.86 μB per formula unit
Energy above the most stable polymorph in this dataset: 0.165 eV per atom
E_tot: -5.4655 eV/atom

---

Compound: PrY3Co8
Source: Alexandria
Functional: PBE
Structure: optimized geometry

Cell lengths 5.1115, 5.1115, 8.8661 Å; angles 73.25, 73.25, 60.00 degrees
Last column: magnetic moment on the atom in μB.
Fractional coordinates of all 12 atoms:
Pr: 0.8748 0.8748 0.3756  -0.22
Y: 0.3752 0.3752 0.8744  -0.24
Y: 0.0001 0.0001 0.9997  -0.24
Y: 0.4998 0.4998 0.5006  -0.25
Co: 0.9413 0.4380 0.1828  1.15
Co: 0.4323 0.9379 0.6918  1.17
Co: 0.4380 0.4380 0.1828  1.15
Co: 0.9379 0.9379 0.6918  1.17
Co: 0.1870 0.1870 0.4390  1.11
Co: 0.6877 0.6877 0.9369  1.19
Co: 0.4380 0.9413 0.1828  1.15
Co: 0.9379 0.4323 0.6918  1.17

Space group: R3m (160)
Volume: 189.2 Å³/f.u.
Total moment: 7.57 μB per formula unit
E_tot: -6.8794 eV/atom

---

Compound: PrY2Co
Source: Alexandria
Functional: PBE
Structure: optimized geometry

Cell lengths 3.7655, 3.7655, 9.6078 Å; angles 78.70, 78.70, 60.00 degrees
Fractional coordinates of all 4 atoms:
Pr: 0.5000 0.5000 0.5000
Y: 0.7219 0.7219 0.8342
Y: 0.2781 0.2781 0.1658
Co: 0.0000 0.0000 0.0000

Space group: R-3m (166)
Volume: 114.9 Å³/f.u.
Total moment: 0.00 μB per formula unit
Energy above the most stable polymorph in this dataset: 0.123 eV per atom
E_tot: -6.1953 eV/atom

---

Compound: Pr2YCo
Source: Alexandria
Functional: PBE
Structure: optimized geometry

Cell lengths 3.6887, 3.6887, 10.7550 Å; angles 80.13, 80.13, 60.00 degrees
Fractional coordinates of all 4 atoms:
Pr: 0.1120 0.1120 0.6641
Pr: 0.8880 0.8880 0.3359
Y: 0.0000 0.0000 0.0000
Co: 0.5000 0.5000 0.5000

Space group: R-3m (166)
Volume: 124.2 Å³/f.u.
Total moment: 0.00 μB per formula unit
Energy above the most stable polymorph in this dataset: 0.316 eV per atom
E_tot: -5.5370 eV/atom

---

Compound: PrYCo
Source: Alexandria
Functional: PBE
Structure: optimized geometry

Cell lengths 3.8241, 6.0876, 7.2126 Å; angles 89.61, 74.63, 71.69 degrees
Last column: magnetic moment on the atom in μB.
Fractional coordinates of all 6 atoms:
Pr: 0.5812 0.2328 0.6049  0.00
Pr: 0.4188 0.7672 0.3951  0.00
Y: 0.2916 0.2881 0.1286  0.00
Y: 0.7084 0.7119 0.8714  0.00
Co: 0.0136 0.1073 0.8655  0.08
Co: 0.9864 0.8927 0.1345  0.08

Space group: C2/m (12)
Volume: 76.6 Å³/f.u.
Total moment: 0.07 μB per formula unit
Energy above the most stable polymorph in this dataset: 0.000 eV per atom
E_tot: -6.2010 eV/atom

---

Compound: PrYCo
Source: Alexandria
Functional: PBE
Structure: optimized geometry

Cell lengths 3.4356, 6.9346, 6.9418 Å; angles 104.91, 104.32, 90.07 degrees
Last column: magnetic moment on the atom in μB.
Fractional coordinates of all 6 atoms:
Pr: 0.3107 0.4858 0.3877  -0.05
Pr: 0.5672 0.6181 0.9012  -0.05
Y: 0.5646 0.1133 0.8964  -0.09
Y: 0.3132 0.9907 0.3925  -0.09
Co: 0.9412 0.2886 0.6491  0.89
Co: 0.9366 0.8153 0.6398  0.89

Space group: P-1 (2)
Volume: 77.2 Å³/f.u.
Total moment: 0.67 μB per formula unit
Energy above the most stable polymorph in this dataset: 0.071 eV per atom
E_tot: -6.1303 eV/atom

---

Compound: PrY6Co2
Source: Alexandria
Functional: PBE
Structure: optimized geometry

Cell lengths 8.5904, 8.5904, 8.5904 Å; angles 108.13, 107.82, 112.50 degrees
Fractional coordinates of all 18 atoms:
Pr: 0.0000 0.5000 0.5000
Pr: 0.0000 0.0000 0.0000
Y: 0.4791 0.2918 0.1873
Y: 0.5209 0.7082 0.8127
Y: 0.8955 0.7082 0.1873
Y: 0.1045 0.2918 0.8127
Y: 0.2203 0.7655 0.9859
Y: 0.7797 0.2345 0.0141
Y: 0.7797 0.7655 0.5452
Y: 0.2203 0.2345 0.4548
Y: 0.3148 0.9959 0.6810
Y: 0.6852 0.0041 0.3190
Y: 0.6852 0.3662 0.6810
Y: 0.3148 0.6338 0.3190
Co: 0.5000 0.3889 0.8889
Co: 0.5000 0.6111 0.1111
Co: 0.3310 0.0000 0.3310
Co: 0.6690 0.0000 0.6690

Space group: Immm (71)
Volume: 243.5 Å³/f.u.
Total moment: 0.00 μB per formula unit
E_tot: -6.4539 eV/atom

---

Compound: PrY2Co
Source: Alexandria
Functional: PBE
Structure: optimized geometry

Cell lengths 3.8217, 3.8217, 9.3876 Å; angles 78.26, 78.26, 60.00 degrees
Fractional coordinates of all 4 atoms:
Pr: 0.5014 0.5014 0.4958
Y: 0.0545 0.0545 0.8364
Y: 0.2778 0.2778 0.1665
Co: 0.6662 0.6662 0.0013

Space group: R3m (160)
Volume: 115.4 Å³/f.u.
Total moment: 0.00 μB per formula unit
Energy above the most stable polymorph in this dataset: 0.110 eV per atom
E_tot: -6.2083 eV/atom

---

Compound: Pr2YCo
Source: Alexandria
Functional: PBE
Structure: optimized geometry

Cell lengths 3.8708, 3.8708, 9.5460 Å; angles 78.30, 78.30, 60.00 degrees
Last column: magnetic moment on the atom in μB.
Fractional coordinates of all 4 atoms:
Pr: 0.0583 0.0583 0.8251  0.02
Pr: 0.2749 0.2749 0.1752  0.02
Y: 0.5006 0.5006 0.4983  0.13
Co: 0.6662 0.6662 0.0014  0.03

Space group: R3m (160)
Volume: 120.4 Å³/f.u.
Total moment: 0.42 μB per formula unit
Energy above the most stable polymorph in this dataset: 0.163 eV per atom
E_tot: -5.6904 eV/atom

---

Compound: Pr12YCo6
Source: Alexandria
Functional: PBE
Structure: optimized geometry

Cell lengths 8.8148, 8.8148, 8.8148 Å; angles 109.47, 109.47, 109.47 degrees
Fractional coordinates of all 19 atoms:
Pr: 0.3106 0.1157 0.8051
Pr: 0.3106 0.5055 0.1949
Pr: 0.6894 0.4945 0.8051
Pr: 0.6894 0.8843 0.1949
Pr: 0.1157 0.8051 0.3106
Pr: 0.5055 0.1949 0.3106
Pr: 0.4945 0.8051 0.6894
Pr: 0.8843 0.1949 0.6894
Pr: 0.8051 0.3106 0.1157
Pr: 0.1949 0.3106 0.5055
Pr: 0.8051 0.6894 0.4945
Pr: 0.1949 0.6894 0.8843
Y: 0.0000 0.0000 0.0000
Co: 0.3898 0.5000 0.8898
Co: 0.6102 0.5000 0.1102
Co: 0.5000 0.8898 0.3898
Co: 0.5000 0.1102 0.6102
Co: 0.8898 0.3898 0.5000
Co: 0.1102 0.6102 0.5000

Space group: Im-3 (204)
Volume: 527.3 Å³/f.u.
Total moment: 0.02 μB per formula unit
E_tot: -5.6262 eV/atom

---

Compound: PrYCo
Source: Alexandria
Functional: PBE
Structure: optimized geometry

Cell lengths 6.2904, 3.9692, 3.9692 Å; angles 120.00, 90.00, 90.00 degrees
Fractional coordinates of all 3 atoms:
Pr: 0.7659 0.6667 0.3333
Y: 0.2301 0.3333 0.6667
Co: 0.0040 0.0000 0.0000

Space group: P3m1 (156)
Volume: 85.8 Å³/f.u.
Total moment: 0.00 μB per formula unit
Energy above the most stable polymorph in this dataset: 0.088 eV per atom
E_tot: -6.1129 eV/atom

---

Compound: PrYZnCo
Source: Alexandria
Functional: PBE
Structure: optimized geometry

Cell lengths 4.9929, 4.9929, 4.9929 Å; angles 60.00, 60.00, 60.00 degrees
Fractional coordinates of all 4 atoms:
Pr: 0.2500 0.2500 0.2500
Y: 0.7500 0.7500 0.7500
Zn: 0.5000 0.5000 0.5000
Co: 0.0000 0.0000 0.0000

Space group: F-43m (216)
Volume: 88.0 Å³/f.u.
Total moment: 0.00 μB per formula unit
E_tot: -5.0472 eV/atom

---

Compound: Pr6Zn2Co
Source: Alexandria
Functional: PBE
Structure: optimized geometry

Cell lengths 6.9356, 7.3892, 10.5782 Å; angles 90.00, 91.61, 90.00 degrees
Fractional coordinates of all 18 atoms:
Pr: 0.8840 0.9902 0.2512
Pr: 0.8112 0.6841 0.5510
Pr: 0.8122 0.6967 0.9513
Pr: 0.6878 0.1967 0.5487
Pr: 0.6888 0.1841 0.9490
Pr: 0.6160 0.4902 0.2488
Pr: 0.1160 0.0098 0.7488
Pr: 0.1888 0.3159 0.4490
Pr: 0.1878 0.3033 0.0487
Pr: 0.3122 0.8033 0.4513
Pr: 0.3112 0.8159 0.0510
Pr: 0.3840 0.5098 0.7512
Zn: 0.9492 0.4079 0.7576
Zn: 0.5508 0.9079 0.7424
Zn: 0.4492 0.0921 0.2576
Zn: 0.0508 0.5921 0.2424
Co: 0.5000 0.5000 0.0000
Co: 0.0000 0.0000 0.5000

Space group: P2_1/c (14)
Volume: 271.0 Å³/f.u.
Total moment: 0.00 μB per formula unit
E_tot: -4.3307 eV/atom

---

Compound: Pr6Zn3Co
Source: Alexandria
Functional: PBE
Structure: optimized geometry

Cell lengths 8.2391, 7.4777, 10.0078 Å; angles 90.00, 66.58, 90.00 degrees
Fractional coordinates of all 20 atoms:
Pr: 0.8153 0.2351 0.8989
Pr: 0.6842 0.2643 0.6004
Pr: 0.7405 0.4988 0.2128
Pr: 0.2595 0.5012 0.7872
Pr: 0.3158 0.7357 0.3996
Pr: 0.1847 0.7649 0.1011
Pr: 0.3153 0.2649 0.3989
Pr: 0.1842 0.2357 0.1004
Pr: 0.2405 0.0012 0.7128
Pr: 0.7595 0.9988 0.2872
Pr: 0.8158 0.7643 0.8996
Pr: 0.6847 0.7351 0.6011
Zn: 0.5035 0.9996 0.8693
Zn: 0.5000 0.5000 0.0000
Zn: 0.4965 0.0004 0.1307
Zn: 0.0035 0.5004 0.3693
Zn: 0.0000 0.0000 0.5000
Zn: 0.9965 0.4996 0.6307
Co: 0.5000 0.5000 0.5000
Co: 0.0000 0.0000 0.0000

Space group: P2_1/c (14)
Volume: 282.9 Å³/f.u.
Total moment: 0.00 μB per formula unit
E_tot: -4.0428 eV/atom

---

Compound: Pr4Zn3Co
Source: Alexandria
Functional: PBE
Structure: optimized geometry

Cell lengths 3.6486, 3.6486, 14.8346 Å; angles 90.00, 90.00, 90.00 degrees
Last column: magnetic moment on the atom in μB.
Fractional coordinates of all 8 atoms:
Pr: 0.0000 0.0000 0.8863  -0.11
Pr: 0.0000 0.0000 0.1137  -0.11
Pr: 0.0000 0.0000 0.3726  -0.03
Pr: 0.0000 0.0000 0.6274  -0.03
Zn: 0.5000 0.5000 0.2459  0.00
Zn: 0.5000 0.5000 0.5000  0.00
Zn: 0.5000 0.5000 0.7541  0.00
Co: 0.5000 0.5000 0.0000  1.13

Space group: P4/mmm (123)
Volume: 197.5 Å³/f.u.
Total moment: 0.62 μB per formula unit
E_tot: -3.9526 eV/atom

---

Compound: PrZn9Co2
Source: Alexandria
Functional: PBE
Structure: optimized geometry

Cell lengths 3.6609, 7.9553, 7.9553 Å; angles 120.00, 90.00, 90.00 degrees
Fractional coordinates of all 12 atoms:
Pr: 0.0000 0.0000 0.0000
Zn: 0.5000 0.7959 0.2041
Zn: 0.0000 0.0000 0.5000
Zn: 0.0000 0.5000 0.5000
Zn: 0.5000 0.7959 0.5918
Zn: 0.5000 0.2041 0.7959
Zn: 0.5000 0.5918 0.7959
Zn: 0.5000 0.2041 0.4082
Zn: 0.0000 0.5000 0.0000
Zn: 0.5000 0.4082 0.2041
Co: 0.0000 0.6667 0.3333
Co: 0.0000 0.3333 0.6667

Space group: P6/mmm (191)
Volume: 200.7 Å³/f.u.
Total moment: 0.00 μB per formula unit
Energy above the most stable polymorph in this dataset: 0.112 eV per atom
E_tot: -2.6098 eV/atom

---

Compound: Pr2Zn3Co
Source: Alexandria
Functional: PBE
Structure: optimized geometry

Cell lengths 4.2966, 5.6000, 6.0406 Å; angles 75.32, 69.17, 67.44 degrees
Fractional coordinates of all 6 atoms:
Pr: 0.5632 0.1956 0.6781
Pr: 0.4441 0.8204 0.2914
Zn: 0.8513 0.6043 0.6931
Zn: 0.8110 0.2725 0.1055
Zn: 0.1835 0.7184 0.9147
Co: 0.1470 0.3888 0.3172

Space group: Cm (8)
Volume: 124.3 Å³/f.u.
Total moment: 0.00 μB per formula unit
E_tot: -3.6491 eV/atom

---

Compound: Pr3ZnCo
Source: Alexandria
Functional: PBE
Structure: optimized geometry

Cell lengths 6.2156, 6.2156, 8.6969 Å; angles 67.70, 67.70, 62.75 degrees
Fractional coordinates of all 10 atoms:
Pr: 0.3153 0.3153 0.8705
Pr: 0.6847 0.6847 0.1295
Pr: 0.0261 0.0261 0.7751
Pr: 0.9739 0.9739 0.2249
Pr: 0.7053 0.7053 0.6736
Pr: 0.2947 0.2947 0.3264
Zn: 0.7046 0.2954 0.5000
Zn: 0.2954 0.7046 0.5000
Co: 0.3180 0.6820 0.0000
Co: 0.6820 0.3180 0.0000

Space group: C2/m (12)
Volume: 133.8 Å³/f.u.
Total moment: 0.00 μB per formula unit
Energy above the most stable polymorph in this dataset: 0.008 eV per atom
E_tot: -4.6514 eV/atom

---

Compound: Pr8Zn2Co
Source: Alexandria
Functional: PBE
Structure: optimized geometry

Cell lengths 5.0289, 8.8583, 8.8413 Å; angles 120.06, 106.52, 90.00 degrees
Last column: magnetic moment on the atom in μB.
Fractional coordinates of all 11 atoms:
Pr: 0.6579 0.8819 0.3158  -0.01
Pr: 0.3421 0.5662 0.6842  -0.01
Pr: 0.1224 0.1224 0.2448  -0.07
Pr: 0.0000 0.3344 0.0000  0.01
Pr: 0.8776 0.8776 0.7552  -0.07
Pr: 0.6579 0.4338 0.3158  -0.01
Pr: 0.3421 0.1181 0.6842  -0.01
Pr: 0.0000 0.6656 0.0000  0.01
Zn: 0.1997 0.6997 0.3993  0.00
Zn: 0.8003 0.3003 0.6007  0.00
Co: 0.5000 0.0000 0.0000  1.10

Space group: Immm (71)
Volume: 321.9 Å³/f.u.
Total moment: 0.79 μB per formula unit
Energy above the most stable polymorph in this dataset: 0.112 eV per atom
E_tot: -4.3114 eV/atom

---

Compound: Pr8ZnCo2
Source: Alexandria
Functional: PBE
Structure: optimized geometry

Cell lengths 5.7740, 8.1192, 8.1192 Å; angles 116.89, 98.63, 98.63 degrees
Fractional coordinates of all 11 atoms:
Pr: 0.5589 0.3436 0.0901
Pr: 0.5589 0.0901 0.3436
Pr: 0.1847 0.3908 0.3908
Pr: 0.0000 0.2410 0.7653
Pr: 0.0000 0.7653 0.2410
Pr: 0.8155 0.6154 0.6154
Pr: 0.4414 0.9160 0.6624
Pr: 0.4414 0.6624 0.9160
Zn: 0.9984 0.0031 0.0031
Co: 0.5002 0.7197 0.2867
Co: 0.5002 0.2867 0.7197

Space group: Cm (8)
Volume: 325.2 Å³/f.u.
Total moment: 0.00 μB per formula unit
E_tot: -4.8491 eV/atom

---

Compound: Pr12ZnCo5
Source: Alexandria
Functional: PBE
Structure: optimized geometry

Cell lengths 8.6228, 8.6228, 8.6228 Å; angles 108.54, 110.76, 109.12 degrees
Fractional coordinates of all 18 atoms:
Pr: 0.5176 0.8163 0.7013
Pr: 0.4824 0.1837 0.2987
Pr: 0.8851 0.1837 0.7013
Pr: 0.1149 0.8163 0.2987
Pr: 0.6952 0.6812 0.3764
Pr: 0.3048 0.3188 0.6236
Pr: 0.3048 0.6812 0.9860
Pr: 0.6952 0.3188 0.0140
Pr: 0.8100 0.6091 0.7991
Pr: 0.1900 0.3909 0.2009
Pr: 0.1900 0.9891 0.7991
Pr: 0.8100 0.0109 0.2009
Zn: 0.0000 0.5000 0.5000
Co: 0.6223 0.6223 0.0000
Co: 0.3777 0.3777 0.0000
Co: 0.5000 0.1131 0.6131
Co: 0.5000 0.8869 0.3869
Co: 0.0000 0.0000 0.0000

Space group: Immm (71)
Volume: 493.3 Å³/f.u.
Total moment: 0.00 μB per formula unit
E_tot: -5.2925 eV/atom